DFT (PBE) results for a relaxed structure of HfPd3Pt2.

The structure in CIF format:
```
data_HfPd3Pt2
_symmetry_space_group_name_H-M 'P n m a'
_symmetry_Int_Tables_number 62
_cell_length_a 6.228
_cell_length_b 3.959
_cell_length_c 16.180
_cell_angle_alpha 90.00
_cell_angle_beta 90.00
_cell_angle_gamma 90.00
loop_
_symmetry_equiv_pos_as_xyz
'x,y,z'
'-x,-y,-z'
'-x+1/2,-y,z+1/2'
'x+1/2,y,-z+1/2'
'x+1/2,-y+1/2,-z+1/2'
'-x+1/2,y+1/2,z+1/2'
'-x,y+1/2,-z'
'x,-y+1/2,z'
loop_
_atom_site_label
_atom_site_fract_x
_atom_site_fract_y
_atom_site_fract_z
Hf1 0.050 0.250 0.136
Pd1 0.058 0.750 0.559
Pd2 0.147 0.250 0.292
Pd3 0.246 0.750 0.399
Pt1 0.150 0.750 0.024
Pt2 0.169 0.250 0.693
```

ΔE_f (eV/atom): -0.5240
Crystal system: orthorhombic

DFT (PBE) results for a relaxed structure of TePt2Se.

The structure in CIF format:
```
data_TePt2Se
_symmetry_space_group_name_H-M 'F -4 3 m'
_symmetry_Int_Tables_number 216
_symmetry_space_group_name_Hall 'F -4 2 3'
_cell_length_a 6.739
_cell_length_b 6.739
_cell_length_c 6.739
_cell_angle_alpha 90.00
_cell_angle_beta 90.00
_cell_angle_gamma 90.00
loop_
_atom_site_label
_atom_site_fract_x
_atom_site_fract_y
_atom_site_fract_z
Te1 0.000 0.000 0.000
Pt1 0.000 0.000 0.500
Pt2 0.250 0.250 0.750
Se1 0.250 0.250 0.250
```

Formation energy without anion corrections (eV per atom): 0.42
Distance to the lowest polymorph of the same formula (eV/f.u.): 2.908
Crystal system: cubic

DFT (PBE) results for a relaxed structure of CaLa2PrS4.

The structure in CIF format:
```
data_CaLa2PrS4
_symmetry_space_group_name_H-M 'P 1 2/m 1'
_symmetry_Int_Tables_number 10
_cell_length_a 7.121
_cell_length_b 4.097
_cell_length_c 7.155
_cell_angle_alpha 90.00
_cell_angle_beta 109.21
_cell_angle_gamma 90.00
loop_
_symmetry_equiv_pos_as_xyz
'x,y,z'
'-x,-y,-z'
'-x,y,-z'
'x,-y,z'
loop_
_atom_site_label
_atom_site_fract_x
_atom_site_fract_y
_atom_site_fract_z
Ca1 0.000 0.000 0.000
La1 0.500 0.000 0.500
La2 0.500 0.500 0.000
Pr1 0.000 0.500 0.500
S1 0.241 0.500 0.242
S2 0.244 0.000 0.754
```

Formation energy without anion corrections (eV per atom): -2.10
Crystal system: monoclinic

DFT (PBE) results for a relaxed structure of Zr3In5.

The structure in CIF format:
```
data_Zr3In5
_symmetry_space_group_name_H-M 'P 63/m c m'
_symmetry_Int_Tables_number 193
_symmetry_space_group_name_Hall '-P 6c 2'
_cell_length_a 8.6012
_cell_length_b 8.6012
_cell_length_c 5.9353
_cell_angle_alpha 90.00
_cell_angle_beta 90.00
_cell_angle_gamma 120.00
loop_
_atom_site_label
_atom_site_fract_x
_atom_site_fract_y
_atom_site_fract_z
Zr1 0.0000 0.4044 0.2500
In1 0.0000 0.2217 0.7500
In2 0.3333 0.6667 0.0000
```

Distance to the lowest polymorph of the same formula (eV/f.u.): 0.873
ΔE_f (eV/atom): -0.1053
Crystal system: hexagonal

DFT (PBE) results for a relaxed structure of Na2SnIrSe.

The structure in CIF format:
```
data_Na2SnIrSe
_symmetry_space_group_name_H-M 'P 4/m m m'
_symmetry_Int_Tables_number 123
_symmetry_space_group_name_Hall '-P 4 2'
_cell_length_a 6.269
_cell_length_b 6.269
_cell_length_c 5.305
_cell_angle_alpha 90.00
_cell_angle_beta 90.00
_cell_angle_gamma 90.00
loop_
_atom_site_label
_atom_site_fract_x
_atom_site_fract_y
_atom_site_fract_z
Na1 0.000 0.500 0.000
Sn1 0.000 0.000 0.000
Ir1 0.500 0.500 0.500
Se1 0.000 0.000 0.500
```

Formation energy without anion corrections (eV per atom): 1.08
Crystal system: tetragonal

DFT (PBE) results for a relaxed structure of Na2LiTaC.

The structure in CIF format:
```
data_Na2LiTaC
_symmetry_space_group_name_H-M 'P 4/m m m'
_symmetry_Int_Tables_number 123
_symmetry_space_group_name_Hall '-P 4 2'
_cell_length_a 4.133
_cell_length_b 4.133
_cell_length_c 4.305
_cell_angle_alpha 90.00
_cell_angle_beta 90.00
_cell_angle_gamma 90.00
loop_
_atom_site_label
_atom_site_fract_x
_atom_site_fract_y
_atom_site_fract_z
Na1 0.000 0.500 0.000
Li1 0.000 0.000 0.000
Ta1 0.500 0.500 0.500
C1 0.000 0.000 0.500
```

ΔE_f (eV/atom): 1.7302
Crystal system: tetragonal

DFT (PBE) results for a relaxed structure of CaY3.

The structure in CIF format:
```
data_CaY3
_symmetry_space_group_name_H-M 'R -3 m'
_symmetry_Int_Tables_number 166
_symmetry_space_group_name_Hall '-R 3 2"'
_cell_length_a 3.6226
_cell_length_b 3.6226
_cell_length_c 36.2400
_cell_angle_alpha 90.00
_cell_angle_beta 90.00
_cell_angle_gamma 120.00
loop_
_atom_site_label
_atom_site_fract_x
_atom_site_fract_y
_atom_site_fract_z
Ca1 0.0000 0.0000 0.0000
Y1 0.0000 0.0000 0.2456
Y2 0.0000 0.0000 0.5000
```

ΔE_f (eV/atom): 0.0636
Crystal system: trigonal

DFT (PBE) results for a relaxed structure of NaZrBr3.

The structure in CIF format:
```
data_NaZrBr3
_symmetry_space_group_name_H-M 'P m -3 m'
_symmetry_Int_Tables_number 221
_symmetry_space_group_name_Hall '-P 4 2 3'
_cell_length_a 5.268
_cell_length_b 5.268
_cell_length_c 5.268
_cell_angle_alpha 90.00
_cell_angle_beta 90.00
_cell_angle_gamma 90.00
loop_
_atom_site_label
_atom_site_fract_x
_atom_site_fract_y
_atom_site_fract_z
Na1 0.000 0.000 0.000
Zr1 0.500 0.500 0.500
Br1 0.000 0.000 0.500
```

Formation energy without anion corrections (eV per atom): -0.30
Distance to the lowest polymorph of the same formula (eV/f.u.): 3.286
Crystal system: cubic

DFT (PBE) results for a relaxed structure of PmEr5Tm2.

The structure in CIF format:
```
data_PmEr5Tm2
_symmetry_space_group_name_H-M 'I 4/m m m'
_symmetry_Int_Tables_number 139
_symmetry_space_group_name_Hall '-I 4 2'
_cell_length_a 7.030
_cell_length_b 7.030
_cell_length_c 9.943
_cell_angle_alpha 90.00
_cell_angle_beta 90.00
_cell_angle_gamma 90.00
loop_
_atom_site_label
_atom_site_fract_x
_atom_site_fract_y
_atom_site_fract_z
Pm1 0.000 0.000 0.000
Er1 0.000 0.000 0.500
Er2 0.250 0.250 0.250
Tm1 0.000 0.500 0.000
```

ΔE_f (eV/atom): 0.0229
Crystal system: tetragonal

DFT (PBE) results for a relaxed structure of KLi2HgAs.

The structure in CIF format:
```
data_KLi2HgAs
_symmetry_space_group_name_H-M 'P 4/m m m'
_symmetry_Int_Tables_number 123
_symmetry_space_group_name_Hall '-P 4 2'
_cell_length_a 4.949
_cell_length_b 4.949
_cell_length_c 5.773
_cell_angle_alpha 90.00
_cell_angle_beta 90.00
_cell_angle_gamma 90.00
loop_
_atom_site_label
_atom_site_fract_x
_atom_site_fract_y
_atom_site_fract_z
K1 0.000 0.000 0.000
Li1 0.000 0.500 0.500
Hg1 0.500 0.500 0.000
As1 0.500 0.500 0.500
```

Distance to the lowest polymorph of the same formula (eV/f.u.): 0.242
ΔE_f (eV/atom): -0.3112
Crystal system: tetragonal

DFT (PBE) results for a relaxed structure of CsPuMgTe3.

The structure in CIF format:
```
data_CsPuMgTe3
_symmetry_space_group_name_H-M 'P 1 21/m 1'
_symmetry_Int_Tables_number 11
_cell_length_a 10.242
_cell_length_b 4.625
_cell_length_c 11.171
_cell_angle_alpha 90.00
_cell_angle_beta 110.55
_cell_angle_gamma 90.00
loop_
_symmetry_equiv_pos_as_xyz
'x,y,z'
'-x,-y,-z'
'-x,y+1/2,-z'
'x,-y+1/2,z'
loop_
_atom_site_label
_atom_site_fract_x
_atom_site_fract_y
_atom_site_fract_z
Cs1 0.218 0.250 0.242
Pu1 0.327 0.750 0.862
Mg1 0.086 0.250 0.610
Te1 0.118 0.250 0.866
Te2 0.206 0.750 0.544
Te3 0.477 0.750 0.156
```

Formation energy without anion corrections (eV per atom): -1.04
Crystal system: monoclinic

DFT (PBE) results for a relaxed structure of Zn2PtAu.

The structure in CIF format:
```
data_Zn2PtAu
_symmetry_space_group_name_H-M 'I m m m'
_symmetry_Int_Tables_number 71
_symmetry_space_group_name_Hall '-I 2 2'
_cell_length_a 2.793
_cell_length_b 4.778
_cell_length_c 10.364
_cell_angle_alpha 90.00
_cell_angle_beta 90.00
_cell_angle_gamma 90.00
loop_
_atom_site_label
_atom_site_fract_x
_atom_site_fract_y
_atom_site_fract_z
Zn1 0.000 0.000 0.244
Pt1 0.000 0.000 0.000
Au1 0.000 0.000 0.500
```

ΔE_f (eV/atom): 0.0182
Crystal system: orthorhombic

Number 1: V 399 Å³/cell, raw total energy -163.0 eV/cell. Number 2: V 306 Å³/cell, raw total energy -68.2 eV/cell. Number 3: V 197 Å³/cell, raw total energy -49.9 eV/cell. Number 4: V 380 Å³/cell, raw total energy -80.4 eV/cell. Number 5: V 209 Å³/cell, raw total energy -13.6 eV/cell. Number 6: V 74 Å³/cell, raw total energy -17.0 eV/cell. Number 7: V 412 Å³/cell, raw total energy -63.4 eV/cell. Number 8: V 146 Å³/cell, raw total energy -16.4 eV/cell. Number 9: V 491 Å³/cell, raw total energy -72.7 eV/cell. Number 10: V 141 Å³/cell, raw total energy -11.4 eV/cell. Number 11: V 496 Å³/cell, raw total energy -64.9 eV/cell. Number 12: V 138 Å³/cell, raw total energy -23.6 eV/cell.